(1)
First-principles (PBE-GGA) data for Ta4FeCuN2 after structural relaxation, as listed in OQMD. Values from VASP.

Geometry as Quantum ESPRESSO input:
```
&SYSTEM
  ibrav = 0, nat = 8, ntyp = 4
/
ATOMIC_SPECIES
Ta 180.95 Ta.upf
Cu 63.55 Cu.upf
Fe 55.84 Fe.upf
N 14.01 N.upf
CELL_PARAMETERS angstrom
-2.5795 -1.3662 0.9327
2.2514 -1.6644 -1.2455
5.2766 -1.8046 11.9492
ATOMIC_POSITIONS crystal
Ta 0.6667 0.3333 0.1590
Cu 0.0000 0.0000 0.0000
Ta 0.0000 0.0000 0.3489
Ta 0.6667 0.3333 0.8410
Ta 0.0000 0.0000 0.6511
Fe 0.6667 0.3333 0.5000
N 0.3333 0.6667 0.2537
N 0.3333 0.6667 0.7463
```

electronic total energy: -9.93 eV per atom
total magnetic moment: 0.149 μB/atom

***

(2)
First-principles (PBE-GGA) data for RbPmAs after structural relaxation, as listed in OQMD. Values from VASP.

Geometry as Quantum ESPRESSO input:
```
&SYSTEM
  ibrav = 0, nat = 3, ntyp = 3
/
ATOMIC_SPECIES
Pm 145.00 Pm.upf
Rb 85.47 Rb.upf
As 74.92 As.upf
CELL_PARAMETERS angstrom
0.0000 3.7104 3.7104
3.7104 0.0000 3.7104
3.7104 3.7104 0.0000
ATOMIC_POSITIONS crystal
Pm 0.2500 0.2500 0.2500
Rb 0.7500 0.7500 0.7500
As 0.0000 0.0000 0.0000
```

energy relative to the lowest polymorph listed for this composition: 0 meV/atom
electronic total energy: -3.74 eV per atom
total magnetic moment: 0.002 μB/atom

***

(3)
First-principles (PBE-GGA) data for RbErO2 after structural relaxation, as listed in OQMD. Values from VASP.

Geometry as Quantum ESPRESSO input:
```
&SYSTEM
  ibrav = 0, nat = 16, ntyp = 3
/
ATOMIC_SPECIES
Er 167.26 Er.upf
Rb 85.47 Rb.upf
O 16.00 O.upf
CELL_PARAMETERS angstrom
-5.7958 0.5853 -3.9741
3.1029 -3.7951 -5.0841
-2.3157 -5.3601 2.5878
ATOMIC_POSITIONS crystal
Er 0.1373 0.8357 0.7500
Rb 0.3688 0.1050 0.2500
O 0.0814 0.3687 0.2500
O 0.3164 0.7500 0.0000
Rb 0.6312 0.8950 0.7500
O 0.9186 0.6313 0.7500
Rb 0.6312 0.6050 0.2500
Er 0.8627 0.1643 0.2500
O 0.6836 0.2500 0.0000
Er 0.1373 0.6643 0.2500
Er 0.8627 0.3357 0.7500
O 0.6836 0.2500 0.5000
O 0.3164 0.7500 0.5000
O 0.9186 0.8687 0.2500
O 0.0814 0.1313 0.7500
Rb 0.3688 0.3950 0.7500
```

electronic total energy: -6.46 eV per atom
total magnetic moment: 0.000 μB/atom

***

(4)
First-principles (PBE-GGA) data for HfTa2Fe after structural relaxation, as listed in OQMD. Values from VASP.

Geometry as Quantum ESPRESSO input:
```
&SYSTEM
  ibrav = 0, nat = 4, ntyp = 3
/
ATOMIC_SPECIES
Ta 180.95 Ta.upf
Hf 178.49 Hf.upf
Fe 55.84 Fe.upf
CELL_PARAMETERS angstrom
0.0000 3.2256 3.2256
3.2256 0.0000 3.2256
3.2256 3.2256 0.0000
ATOMIC_POSITIONS crystal
Ta 0.7500 0.7500 0.7500
Hf 0.5000 0.5000 0.5000
Fe 0.2500 0.2500 0.2500
Ta 0.0000 0.0000 0.0000
```

electronic total energy: -10.42 eV per atom
formation energy from the elements: 0.076 eV/atom
total magnetic moment: 0.209 μB/atom